No. 1
A plane-wave DFT calculation with PBE was carried out for Ti2SiGeOs after structural relaxation.

Cell lengths 4.5923, 4.3809, 4.5923 Å; angles 90.00, 90.00, 90.00 degrees
Last column: nearest neighbours and their distance in Å.
Fractional coordinates of all 5 atoms:
Ti 0.5000 0.0000 0.0000  2 Si 2.30
Si 0.0000 0.0000 0.0000  2 Os 2.19, 4 Ti 2.30
Ti 0.0000 0.0000 0.5000  2 Si 2.30
Os 0.0000 0.5000 0.0000  2 Si 2.19
Ge 0.5000 0.5000 0.5000  8 Ti 3.17, 4 Os 3.25

Properties
Calculated total energy ... -6.9500 eV/atom
Symmetry ... P4/mmm (123)

***

No. 2
A plane-wave DFT calculation with PBE was carried out for LiPm2Sn9 after structural relaxation.

Cell lengths 4.6934, 4.6934, 14.3381 Å; angles 90.00, 90.00, 90.00 degrees
Last column: nearest neighbours and their distance in Å.
Fractional coordinates of all 12 atoms:
Sn 0.5000 0.5000 0.6736  4 Pm 3.32, 8 Sn 3.36-3.42
Li 0.0000 0.0000 0.0000  12 Sn 3.26-3.32
Sn 0.5000 0.0000 0.1583  8 Sn 3.26-3.36, 2 Li 3.26, 2 Pm 3.47
Pm 0.0000 0.0000 0.6639  12 Sn 3.32-3.47
Sn 0.5000 0.0000 0.5000  8 Sn 3.32-3.42, 4 Pm 3.32
Sn 0.0000 0.5000 0.5000  8 Sn 3.32-3.42, 4 Pm 3.32
Sn 0.5000 0.5000 0.0000  8 Sn 3.26, 4 Li 3.32
Pm 0.0000 0.0000 0.3361  12 Sn 3.32-3.47
Sn 0.5000 0.0000 0.8417  8 Sn 3.26-3.36, 2 Li 3.26, 2 Pm 3.47
Sn 0.0000 0.5000 0.8417  8 Sn 3.26-3.36, 2 Li 3.26, 2 Pm 3.47
Sn 0.5000 0.5000 0.3264  4 Pm 3.32, 8 Sn 3.36-3.42
Sn 0.0000 0.5000 0.1583  8 Sn 3.26-3.36, 2 Li 3.26, 2 Pm 3.47

Properties
Calculated total energy ... -4.3302 eV/atom
Formation enthalpy at 0 K ... -0.377 eV/atom
Symmetry ... P4/mmm (123)

***

No. 3
A plane-wave DFT calculation with PBE was carried out for Sm4GaAg2Hg after structural relaxation.

Cell lengths 5.2557, 5.2557, 9.1350 Å; angles 73.28, 73.28, 60.00 degrees
Last column: nearest neighbours and their distance in Å.
Fractional coordinates of all 8 atoms:
Ag 0.2510 0.2510 0.2469  8 Sm 3.19-3.27
Sm 0.8726 0.8726 0.3821  4 Ag 3.20-3.25, 3 Ga 3.20, 1 Hg 3.29
Ag 0.7490 0.7490 0.7531  8 Sm 3.19-3.27
Sm 0.3776 0.3776 0.8672  1 Ga 3.16, 4 Ag 3.19-3.27, 3 Hg 3.24
Ga 0.5000 0.5000 0.5000  8 Sm 3.16-3.20
Sm 0.6224 0.6224 0.1328  1 Ga 3.16, 4 Ag 3.19-3.27, 3 Hg 3.24
Hg 0.0000 0.0000 0.0000  8 Sm 3.24-3.29
Sm 0.1274 0.1274 0.6179  4 Ag 3.20-3.25, 3 Ga 3.20, 1 Hg 3.29

Properties
Calculated total energy ... -3.8860 eV/atom
Formation enthalpy at 0 K ... -0.398 eV/atom
Symmetry ... R-3m (166)

***

No. 4
A plane-wave DFT calculation with PBE was carried out for Pr3PSN after structural relaxation.

Cell lengths 4.0923, 8.3789, 9.5371 Å; angles 99.49, 90.00, 90.00 degrees
Last column: nearest neighbours and their distance in Å.
Fractional coordinates of all 12 atoms:
Pr 0.7500 0.1801 0.5233  3 N 2.35-2.36
Pr 0.2500 0.0990 0.8428  1 N 2.27
Pr 0.2500 0.8199 0.4767  3 N 2.35-2.36
P 0.7500 0.3474 0.8485  6 Pr 2.85-3.19
S 0.7500 0.8340 0.8158  5 Pr 2.93-3.21
Pr 0.7500 0.9010 0.1572  1 N 2.27
Pr 0.7500 0.4073 0.1517  3 P 2.85-2.90, 2 S 2.93
P 0.2500 0.6526 0.1515  6 Pr 2.85-3.19
N 0.7500 0.9144 0.3971  4 Pr 2.27-2.36
S 0.2500 0.1660 0.1842  5 Pr 2.93-3.21
Pr 0.2500 0.5927 0.8483  3 P 2.85-2.90, 2 S 2.93
N 0.2500 0.0856 0.6029  4 Pr 2.27-2.36

Properties
Calculated total energy ... -6.8422 eV/atom
Symmetry ... P2_1/m (11)

***

| no. | DOS(E_F) (states/eV per atom) | ρ (g/cm³) |
| --- | --- | --- |
| 1 | 1.6938 | 7.0 |
| 2 | 0.4210 | 7.2 |
| 3 | 1.0419 | 8.8 |
| 4 | 0.3938 | 5.1 |